Record 1
Density functional theory data (PBE-GGA) for SbP2O6F after structural relaxation.

Output
Symmetry ... C2/c, No. 15

Lattice parameters (Å, degrees): 4.5021 8.8819 8.8819 91.92 76.18 76.18
Atoms (fractional coordinates):
O 0.6104 0.8183 0.5112
O 0.1104 0.5112 0.8183
O 0.6348 0.0195 0.2209
P 0.4467 0.8270 0.6788
O 0.8896 0.4888 0.1817
O 0.8652 0.7791 0.9805
P 0.5533 0.1730 0.3212
O 0.6324 0.6944 0.7674
F 0.2500 0.7827 0.2173
Sb 0.7500 0.7728 0.2272
O 0.3652 0.9805 0.7791
O 0.3676 0.3056 0.2326
O 0.8676 0.2326 0.3056
P 0.9467 0.6788 0.8270
O 0.1348 0.2209 0.0195
O 0.1324 0.7674 0.6944
Sb 0.2500 0.2272 0.7728
F 0.7500 0.2173 0.7827
P 0.0533 0.3212 0.1730
O 0.3896 0.1817 0.4888

---

Record 2
Density functional theory data (PBE-GGA) for SbP2O6F2 after structural relaxation.

Output
Symmetry ... P-3, No. 147

Lattice parameters (Å, degrees): 5.1791 5.1791 7.2872 90.00 90.00 120.00
Each line ends with the local moment (μB).
Atoms (fractional coordinates):
P 0.6667 0.3333 0.2266  0.02
O 0.3639 0.0680 0.1712  0.09
O 0.9320 0.2959 0.1712  0.09
O 0.7041 0.6361 0.1712  0.09
P 0.3333 0.6667 0.7734  0.02
F 0.6667 0.3333 0.4412  0.01
O 0.6361 0.9320 0.8288  0.09
F 0.3333 0.6667 0.5588  0.01
O 0.2959 0.3639 0.8288  0.09
Sb 0.0000 0.0000 0.0000  0.30
O 0.0680 0.7041 0.8288  0.09

---

Record 3
Density functional theory data (PBE-GGA) for ScPO4F after structural relaxation.

Output
Symmetry ... C2/m, No. 12

Lattice parameters (Å, degrees): 5.4969 5.4969 6.3499 76.10 76.10 74.84
Each line ends with the local moment (μB).
Atoms (fractional coordinates):
P 0.3549 0.3549 0.2754  -0.02
O 0.5178 0.8816 0.8360  0.16
Sc 0.7976 0.7976 0.1128  -0.02
O 0.1184 0.4822 0.1640  0.16
F 0.9840 0.9840 0.8203  0.01
O 0.5382 0.5382 0.2246  0.28
O 0.2758 0.2758 0.5248  0.30
Sc 0.2024 0.2024 0.8872  -0.02
O 0.8816 0.5178 0.8360  0.16
O 0.4822 0.1184 0.1640  0.16
O 0.7242 0.7242 0.4752  0.30
P 0.6451 0.6451 0.7246  -0.02
O 0.4618 0.4618 0.7754  0.28
F 0.0160 0.0160 0.1797  0.01

---

Record 4
Density functional theory data (PBE-GGA) for PSeO2F after structural relaxation.

Output
Symmetry ... P4/mmm, No. 123

Lattice parameters (Å, degrees): 4.2614 4.2614 3.6761 90.00 90.00 90.00
Each line ends with the local moment (μB).
Atoms (fractional coordinates):
Se 0.5000 0.5000 0.5000  0.04
O 0.5000 0.0000 0.0000  0.77
O 0.0000 0.5000 0.0000  0.77
F 0.0000 0.0000 0.0000  0.19
P 0.0000 0.0000 0.5000  -0.03

---

Record 5
Density functional theory data (PBE-GGA) for PSeO2F after structural relaxation.

Output
Symmetry ... P4/mmm, No. 123

Lattice parameters (Å, degrees): 3.9837 3.9837 4.2504 90.00 90.00 90.00
Each line ends with the local moment (μB).
Atoms (fractional coordinates):
P 0.5000 0.5000 0.5000  0.85
O 0.0000 0.5000 0.0000  0.02
O 0.5000 0.0000 0.0000  0.02
Se 0.0000 0.0000 0.0000  0.01
F 0.0000 0.0000 0.5000  0.07

---

Record 6
Density functional theory data (PBE-GGA) for PSeO2F after structural relaxation.

Output
Symmetry ... P4/mmm, No. 123

Lattice parameters (Å, degrees): 3.6347 3.6347 5.2807 90.00 90.00 90.00
Atoms (fractional coordinates):
Se 0.0000 0.0000 0.0000
O 0.0000 0.5000 0.0000
O 0.5000 0.0000 0.0000
P 0.0000 0.0000 0.5000
F 0.5000 0.5000 0.5000

---

Record 7
Density functional theory data (PBE-GGA) for PSeO2F after structural relaxation.

Output
Symmetry ... P4/mmm, No. 123

Lattice parameters (Å, degrees): 3.8476 3.8476 3.9657 90.00 90.00 90.00
Atoms (fractional coordinates):
Se 0.5000 0.5000 0.5000
O 0.5000 0.0000 0.0000
O 0.0000 0.5000 0.0000
P 0.0000 0.0000 0.0000
F 0.0000 0.0000 0.5000

---

Record 8
Density functional theory data (PBE-GGA) for SiPO4F2 after structural relaxation.

Output
Symmetry ... Pmmn, No. 59

Lattice parameters (Å, degrees): 5.1037 6.8438 5.5724 90.00 90.00 90.00
Each line ends with the local moment (μB).
Atoms (fractional coordinates):
O 0.2482 0.9920 0.5000  0.00
O 0.5000 0.7470 0.2667  0.00
O 0.2518 0.0080 0.0000  0.00
O 0.5000 0.7470 0.7333  0.00
O 0.7482 0.0080 0.0000  0.00
F 0.5000 0.3133 0.6765  0.46
Si 0.5000 0.8538 0.0000  0.00
P 0.0000 0.1290 0.0000  0.00
P 0.5000 0.8710 0.5000  0.00
O 0.0000 0.2530 0.7667  0.00
F 0.0000 0.6867 0.1765  0.46
O 0.0000 0.2530 0.2333  0.00
O 0.7518 0.9920 0.5000  0.00
F 0.5000 0.3133 0.3235  0.46
F 0.0000 0.6867 0.8235  0.46
Si 0.0000 0.1462 0.5000  0.00

---

Looking at raw formation energy for the records above, in order, we have -2.008, -2.016, -2.588, 0.934, 0.227, 0.084, -0.193, -1.775 eV/atom.
Looking at energy for the records above, in order, we have -6.665, -6.419, -7.366, -3.202, -3.909, -4.053, -4.329, -6.076 eV/atom.